1.
DFT (meta-GGA SCAN) results for Ba2CdCoNi at its PBEsol-relaxed geometry.

The value obtained for the energy relative to the elements is 740 meV per atom. The density comes out at 4.6 g/cm3. The value obtained for the total energy is -27.86 eV per atom.

It has space group P4/mmm (No. 123), with a = 6.211 Å, b = 6.211 Å, c = 4.680 Å, α = 90.00°, β = 90.00° and γ = 90.00°. Symmetry generates all atoms from Ba at (0.000, 0.500, 0.000), Cd at (0.000, 0.000, 0.000), Co at (0.000, 0.000, 0.500) and Ni at (0.500, 0.500, 0.500).

=====

2.
DFT (meta-GGA SCAN) results for Li2ZnNi at its PBEsol-relaxed geometry.

The value obtained for the energy relative to the elements is -54 meV per atom. The density comes out at 4.6 g/cm3. The value obtained for the total energy is -8.67 eV per atom.

It has space group Imm2 (No. 44), with a = 2.794 Å, b = 4.244 Å, c = 8.324 Å, α = 90.00°, β = 90.00° and γ = 90.00°. Symmetry generates all atoms from Li at (0.000, 0.000, 0.000), Li at (0.000, 0.500, 0.239), Zn at (0.000, 0.000, 0.481) and Ni at (0.000, 0.500, 0.743).

=====

3.
DFT (meta-GGA SCAN) results for Er5B2O6F9 at its PBEsol-relaxed geometry.

As for the uncorrected formation energy: -3984 meV/atom. The density comes out at 7.8 g/cm3. The value obtained for the total energy is -19.25 eV per atom.

It has space group C2/c (No. 15), with a = 20.083 Å, b = 5.971 Å, c = 8.151 Å, α = 90.00°, β = 100.31° and γ = 90.00°. Symmetry generates all atoms from Er at (0.000, 0.110, 0.250), Er at (0.110, 0.388, 0.905), Er at (0.194, 0.122, 0.319), B at (0.111, 0.094, 0.562), O at (0.091, 0.241, 0.433), O at (0.093, 0.102, 0.717), O at (0.160, 0.063, 0.038), F at (0.000, 0.488, 0.250), F at (0.032, 0.179, 0.985), F at (0.132, 0.426, 0.184), F at (0.211, 0.426, 0.481) and F at (0.225, 0.222, 0.786).

=====

4.
DFT (meta-GGA SCAN) results for YCdIr at its PBEsol-relaxed geometry.

The value obtained for the energy relative to the elements is -479 meV per atom. The density comes out at 11.1 g/cm3. The value obtained for the total energy is -43.60 eV per atom.

It has space group Imm2 (No. 44), with a = 3.268 Å, b = 3.847 Å, c = 9.355 Å, α = 90.00°, β = 90.00° and γ = 90.00°. Symmetry generates all atoms from Y at (0.000, 0.000, 0.000), Cd at (0.000, 0.000, 0.690) and Ir at (0.000, 0.000, 0.349).

=====

5.
DFT (meta-GGA SCAN) results for LiCo2P at its PBEsol-relaxed geometry.

The value obtained for the energy relative to the elements is -118 meV per atom. The density comes out at 6.5 g/cm3. The value obtained for the total energy is -11.97 eV per atom.

It has space group I-4m2 (No. 119), with a = 3.335 Å, b = 3.335 Å, c = 7.142 Å, α = 90.00°, β = 90.00° and γ = 90.00°. Symmetry generates all atoms from Li at (0.000, 0.000, 0.000), Co at (0.000, 0.000, 0.500), Co at (0.000, 0.500, 0.750) and P at (0.000, 0.500, 0.250).

=====

6.
DFT (meta-GGA SCAN) results for ScCd2Se at its PBEsol-relaxed geometry.

As for the uncorrected formation energy: -612 meV/atom. The density comes out at 7.0 g/cm3. The value obtained for the total energy is -24.40 eV per atom.

It has space group Immm (No. 71), with a = 3.819 Å, b = 3.948 Å, c = 11.051 Å, α = 90.00°, β = 90.00° and γ = 90.00°. Symmetry generates all atoms from Sc at (0.000, 0.000, 0.000), Cd at (0.000, 0.500, 0.245) and Se at (0.000, 0.000, 0.500).

=====

7.
DFT (meta-GGA SCAN) results for Sc2TlBr2 at its PBEsol-relaxed geometry.

As for the uncorrected formation energy: -652 meV/atom. The density comes out at 6.2 g/cm3. The value obtained for the total energy is -28.60 eV per atom.

It has space group I4/mmm (No. 139), with a = 4.853 Å, b = 4.853 Å, c = 10.264 Å, α = 90.00°, β = 90.00° and γ = 90.00°. Symmetry generates all atoms from Sc at (0.000, 0.500, 0.250), Tl at (0.000, 0.000, 0.000) and Br at (0.000, 0.000, 0.351).

=====

8.
DFT (meta-GGA SCAN) results for Ca3LaAg at its PBEsol-relaxed geometry.

The value obtained for the energy relative to the elements is 25 meV per atom. The density comes out at 3.3 g/cm3. The value obtained for the total energy is -20.67 eV per atom.

It has space group Pm-3m (No. 221), with a = 5.692 Å, b = 5.692 Å, c = 5.692 Å, α = 90.00°, β = 90.00° and γ = 90.00°. Symmetry generates all atoms from Ca at (0.000, 0.000, 0.500), La at (0.500, 0.500, 0.500) and Ag at (0.000, 0.000, 0.000).

=====

9.
DFT (meta-GGA SCAN) results for Sm3Pt4 at its PBEsol-relaxed geometry.

The value obtained for the energy relative to the elements is -1324 meV per atom. The density comes out at 14.0 g/cm3. The value obtained for the total energy is -60.48 eV per atom.

It has space group R-3 (No. 148, hexagonal axes), with a = 13.3043 Å, b = 13.3043 Å, c = 5.7121 Å, α = 90.00°, β = 90.00° and γ = 120.00°. Symmetry generates all atoms from Sm at (0.0436, 0.2100, 0.2386), Pt at (0.0000, 0.0000, 0.0000), Pt at (0.0000, 0.0000, 0.5000) and Pt at (0.0553, 0.2751, 0.7220).

=====

10.
DFT (meta-GGA SCAN) results for SrZrSn2Au at its PBEsol-relaxed geometry.

The value obtained for the energy relative to the elements is 1137 meV per atom. The density comes out at 6.4 g/cm3. The value obtained for the total energy is -37.66 eV per atom.

It has space group P4/mmm (No. 123), with a = 5.547 Å, b = 5.547 Å, c = 5.160 Å, α = 90.00°, β = 90.00° and γ = 90.00°. Symmetry generates all atoms from Sr at (0.000, 0.000, 0.000), Zr at (0.500, 0.500, 0.500), Sn at (0.000, 0.500, 0.000) and Au at (0.000, 0.000, 0.500).

=====

11.
DFT (meta-GGA SCAN) results for TiCrH3 at its PBEsol-relaxed geometry.

The density comes out at 4.2 g/cm3. The value obtained for the total energy is -8.89 eV per atom.

It has space group Pm-3m (No. 221), with a = 3.438 Å, b = 3.438 Å, c = 3.438 Å, α = 90.00°, β = 90.00° and γ = 90.00°. Symmetry generates all atoms from Ti at (0.000, 0.000, 0.000), Cr at (0.500, 0.500, 0.500) and H at (0.000, 0.000, 0.500).

=====

12.
DFT (meta-GGA SCAN) results for YSc3 at its PBEsol-relaxed geometry.

The value obtained for the energy relative to the elements is 29 meV per atom. The density comes out at 3.7 g/cm3. The value obtained for the total energy is -17.61 eV per atom. As for the offset from the most stable computed form: 13 meV per atom.

It has space group Cmcm (No. 63), with a = 6.700 Å, b = 11.612 Å, c = 5.199 Å, α = 90.00°, β = 90.00° and γ = 90.00°. Symmetry generates all atoms from Y at (0.000, 0.086, 0.250), Sc at (0.000, 0.415, 0.750) and Sc at (0.248, 0.332, 0.250).